Run one
Entry from Alexandria via LeMat-Bulk: an optimized crystal structure of ZnSnTeN2 (GGA-PBE).

calculated volume: 20.479 Å³/atom

Cell lengths 4.2598, 4.2598, 5.6429 Å; angles 90.00, 90.00, 90.00 degrees
Each line ends with the local moment (μB).
Positions (direct):
N 0.0000 0.5000 0.0000  1.19
N 0.5000 0.0000 0.0000  1.19
Sn 0.5000 0.5000 0.5000  -0.04
Zn 0.0000 0.0000 0.0000  0.05
Te 0.0000 0.0000 0.5000  0.20


Run two
Entry from Alexandria via LeMat-Bulk: an optimized crystal structure of ZnSnTeN2 (GGA-PBE).

calculated volume: 21.343 Å³/atom

Cell lengths 4.0454, 4.0454, 6.5207 Å; angles 90.00, 90.00, 90.00 degrees
Positions (direct):
N 0.0000 0.5000 0.0000
N 0.5000 0.0000 0.0000
Te 0.0000 0.0000 0.5000
Zn 0.5000 0.5000 0.5000
Sn 0.0000 0.0000 0.0000


Run three
Entry from Alexandria via LeMat-Bulk: an optimized crystal structure of ZnSnTeN2 (GGA-PBE).

calculated volume: 21.494 Å³/atom

Cell lengths 4.0815, 6.4511, 4.0815 Å; angles 90.00, 90.00, 90.00 degrees
Each line ends with the local moment (μB).
Positions (direct):
Te 0.5000 0.5000 0.5000  0.28
Zn 0.0000 0.5000 0.0000  -0.02
N 0.5000 0.0000 0.0000  0.78
N 0.0000 0.0000 0.5000  0.59
Sn 0.0000 0.0000 0.0000  -0.08


Relative energy of each structure, in meV per atom: run one 141; run two 0; run three 60.


Run one
Entry from Alexandria via LeMat-Bulk: an optimized crystal structure of ZnSnTe2N (GGA-PBE).

calculated volume: 27.322 Å³/atom

Cell lengths 5.9098, 5.9098, 3.9115 Å; angles 90.00, 90.00, 90.00 degrees
Each line ends with the local moment (μB).
Positions (direct):
Zn 0.5000 0.5000 0.5000  -0.02
Te 0.5000 0.0000 0.0000  0.06
Te 0.0000 0.5000 0.0000  0.06
Sn 0.0000 0.0000 0.0000  -0.03
N 0.0000 0.0000 0.5000  0.33


Run two
Entry from Alexandria via LeMat-Bulk: an optimized crystal structure of ZnSnTe2N (GGA-PBE).

calculated volume: 24.964 Å³/atom

Cell lengths 5.8370, 5.8370, 3.6636 Å; angles 90.00, 90.00, 90.00 degrees
Each line ends with the local moment (μB).
Positions (direct):
Te 0.5000 0.0000 0.0000  0.13
Te 0.0000 0.5000 0.0000  0.13
N 0.0000 0.0000 0.5000  0.93
Zn 0.0000 0.0000 0.0000  0.06
Sn 0.5000 0.5000 0.5000  -0.01


Relative energy of each structure, in meV per atom: run one 221; run two 0.


Run one
Entry from Alexandria via LeMat-Bulk: an optimized crystal structure of ZrSnTe2N (GGA-PBE).

calculated volume: 25.733 Å³/atom

Cell lengths 5.7282, 5.7282, 3.9212 Å; angles 90.00, 90.00, 90.00 degrees
Each line ends with the local moment (μB).
Positions (direct):
Te 0.0000 0.5000 0.0000  -0.07
Te 0.5000 0.0000 0.0000  -0.07
Zr 0.5000 0.5000 0.5000  0.80
N 0.0000 0.0000 0.5000  -0.24
Sn 0.0000 0.0000 0.0000  0.03


Run two
Entry from Alexandria via LeMat-Bulk: an optimized crystal structure of ZrSnTe2N (GGA-PBE).

calculated volume: 27.495 Å³/atom

Cell lengths 5.8268, 5.8268, 4.0492 Å; angles 90.00, 90.00, 90.00 degrees
Positions (direct):
Zr 0.0000 0.0000 0.0000
Te 0.5000 0.0000 0.0000
Te 0.0000 0.5000 0.0000
N 0.0000 0.0000 0.5000
Sn 0.5000 0.5000 0.5000


Relative energy of each structure, in meV per atom: run one 778; run two 0.


Run one
Entry from Alexandria via LeMat-Bulk: an optimized crystal structure of Ti6Sn2N (GGA-PBE).

calculated volume: 16.330 Å³/atom

Cell lengths 4.7980, 5.9531, 5.9531 Å; angles 59.81, 89.81, 89.81 degrees
Positions (direct):
Sn 0.7574 0.6668 0.6668
Sn 0.2426 0.3332 0.3332
Ti 0.2595 0.3233 0.8373
Ti 0.7405 0.6767 0.1627
Ti 0.2558 0.8367 0.8367
Ti 0.2595 0.8373 0.3233
Ti 0.7405 0.1627 0.6767
Ti 0.7442 0.1633 0.1633
N 0.0000 0.0000 0.0000


Run two
Entry from Alexandria via LeMat-Bulk: an optimized crystal structure of Ti6Sn2N (GGA-PBE).

calculated volume: 16.194 Å³/atom

Cell lengths 5.8688, 5.8689, 8.4631 Å; angles 90.00, 90.00, 90.00 degrees
Positions (direct):
Ti 0.5000 0.5000 0.2528
Ti 0.5000 0.5000 0.7472
Ti 0.2444 0.2439 0.0000
Ti 0.0000 0.0000 0.7528
Ti 0.0000 0.0000 0.2472
Ti 0.7560 0.2443 0.0000
Ti 0.7444 0.2561 0.5000
Ti 0.2440 0.7557 0.0000
Ti 0.7440 0.7443 0.5000
Ti 0.7556 0.7561 0.0000
Ti 0.2556 0.7439 0.5000
Ti 0.2560 0.2557 0.5000
Sn 0.0000 0.5000 0.7500
Sn 0.5000 0.0000 0.7500
Sn 0.5000 0.0000 0.2500
Sn 0.0000 0.5000 0.2500
N 0.5000 0.5000 0.0000
N 0.0000 0.0000 0.5000


Relative energy of each structure, in meV per atom: run one 0; run two 48.